Below is an optimized crystal structure of Li2BiCl, with properties calculated at the PBE-GGA level.

Results
The spin magnetization is 0.0 Bohr magnetons per cell. As for the formation energy (no corrections): -924.2 meV/atom.

Cell lengths 3.291, 3.291, 7.774 Å; angles 90.00, 90.00, 90.00 degrees
Space group P4/mmm (No. 123)
One atom of each set of equivalent atoms:
Li: 0.000 0.000 0.200 x2
Bi: 0.500 0.500 0.500 x1
Cl: 0.500 0.500 0.000 x1